Entry 1:
Here is an optimized crystal structure of Te2Pt from the Alexandria database. Energies are from PBE-GGA.

Lattice parameters (Å, degrees): 4.5344 4.5344 3.7290 90.00 90.00 90.00
With the nearest neighbours (Å) after each atom.
Space group P4/mmm (No. 123)
One atom of each set of equivalent atoms:
Te 0.0000 0.5000 0.0000 x2  4 Pt 2.94, 4 Te 3.21
Pt 0.0000 0.0000 0.5000 x1  8 Te 2.94

Entry 2:
Here is an optimized crystal structure of Te2Pt from the Alexandria database. Energies are from PBE-GGA.

Lattice parameters (Å, degrees): 4.0886 4.0886 5.3564 90.00 90.00 120.00
With the nearest neighbours (Å) after each atom.
Space group P-3m1 (No. 164)
One atom of each set of equivalent atoms:
Te 0.3333 0.6667 0.2453 x2  3 Pt 2.73
Pt 0.0000 0.0000 0.5000 x1  6 Te 2.73

Entry 3:
Here is an optimized crystal structure of Te5Pt4 from the Alexandria database. Energies are from PBE-GGA.

Output
Energy above the lowest structure with this stoichiometry = 412 meV/atom

Lattice parameters (Å, degrees): 10.1771 10.1771 3.8188 90.00 90.00 90.00
With the nearest neighbours (Å) after each atom.
Space group I4/mmm (No. 139)
One atom of each set of equivalent atoms:
Te 0.0000 0.0000 0.0000 x2  8 Te 3.14
Te 0.1732 0.1732 0.5000 x8  4 Te 2.92-3.14, 4 Pt 3.19
Pt 0.0000 0.3557 0.0000 x8  5 Pt 2.82-2.94

Entry 4:
Here is an optimized crystal structure of Te2Pt from the Alexandria database. Energies are from PBE-GGA.

Lattice parameters (Å, degrees): 6.3208 6.3208 7.2653 90.00 90.00 90.00
With the nearest neighbours (Å) after each atom.
Space group I4/mcm (No. 140)
One atom of each set of equivalent atoms:
Te 0.1841 0.3159 0.0000 x8  4 Pt 2.94, 5 Te 3.27-3.29
Pt 0.0000 0.0000 0.2500 x4  8 Te 2.94

Entry 5:
Here is an optimized crystal structure of Te2Pt from the Alexandria database. Energies are from PBE-GGA.

Lattice parameters (Å, degrees): 4.0518 12.8973 5.8937 90.00 90.00 90.00
With the nearest neighbours (Å) after each atom.
Space group Cmcm (No. 63)
One atom of each set of equivalent atoms:
Te 0.0000 0.0298 0.2500 x4  2 Pt 2.68
Te 0.0000 0.3019 0.2500 x4  4 Pt 2.68-2.98
Pt 0.0000 0.3338 0.7500 x4  6 Te 2.68-2.98

Entry 6:
Here is an optimized crystal structure of Te2Pt from the Alexandria database. Energies are from PBE-GGA.

Lattice parameters (Å, degrees): 5.2257 5.2257 3.0050 90.00 90.00 120.00
With the nearest neighbours (Å) after each atom.
Space group P6/mmm (No. 191)
One atom of each set of equivalent atoms:
Te 0.3333 0.6667 0.0000 x2  5 Te 3.00-3.02
Pt 0.0000 0.0000 0.5000 x1  2 Pt 3.00

Number 1: E -12.1 eV for the cell shown. Number 2: E -13.5 eV for the cell shown. Number 3: E -72.1 eV for the cell shown. Number 4: E -48.2 eV for the cell shown. Number 5: E -53.3 eV for the cell shown. Number 6: E -10.7 eV for the cell shown.